## Y2NpAl9 (GGA-PBE)

Data for a geometry-optimized Y2NpAl9 structure.

Calculated values
**E_tot**: -5.245 eV per atom
**Symmetry**: No. 166
**ΔH_f (0 K)**: -283 meV per atom
**Density**: 4.7 g/cm³

a = 9.385 Å, b = 9.385 Å, c = 9.385 Å
α = 34.25°, β = 34.25°, γ = 34.25°
Fractional positions:
Y 0.140 0.140 0.140
Y 0.860 0.860 0.860
Np 0.000 0.000 0.000
Al 0.077 0.586 0.586
Al 0.335 0.335 0.335
Al 0.414 0.414 0.923
Al 0.414 0.923 0.414
Al 0.500 0.500 0.500
Al 0.586 0.077 0.586
Al 0.586 0.586 0.077
Al 0.665 0.665 0.665
Al 0.923 0.414 0.414

## Na3VW (GGA-PBE)

Data for a geometry-optimized Na3VW structure.

Calculated values
**E_tot**: -3.038 eV per atom
**Symmetry**: No. 221
**Energy above the most stable polymorph in this dataset**: 0 meV/atom
**ΔH_f (0 K)**: 2168 meV per atom
**Density**: 2.5 g/cm³

a = 5.847 Å, b = 5.847 Å, c = 5.847 Å
α = 90.00°, β = 90.00°, γ = 90.00°
Fractional positions:
Na 0.000 0.000 0.500
Na 0.000 0.500 0.000
Na 0.500 0.000 0.000
V 0.500 0.500 0.500
W 0.000 0.000 0.000

## KLi2H3 (GGA-PBE)

Data for a geometry-optimized KLi2H3 structure.

Calculated values
**E_tot**: -2.770 eV per atom
**Symmetry**: No. 63
**Energy above the most stable polymorph in this dataset**: 0 meV/atom
**Density**: 1.0 g/cm³

a = 6.130 Å, b = 6.130 Å, c = 4.818 Å
α = 90.00°, β = 90.00°, γ = 99.81°
Fractional positions:
K 0.178 0.822 0.750
K 0.822 0.178 0.250
Li 0.340 0.340 0.000
Li 0.340 0.340 0.500
Li 0.660 0.660 0.000
Li 0.660 0.660 0.500
H 0.119 0.321 0.750
H 0.321 0.119 0.250
H 0.423 0.577 0.250
H 0.577 0.423 0.750
H 0.679 0.881 0.750
H 0.881 0.679 0.250

Which value of E_tot does entry 1 give? -5.245 eV per atom

Look up the E_tot of the third one. -2.770 eV per atom